*a*
The following is a GGA-PBE calculation of an optimized crystal structure of Co2C, from the Alexandria database.

```
Co2C
1.0
1.610 -5.625 0.000
1.610 5.625 0.000
0.000 0.000 3.088
Co C
4 2
Direct
0.000 0.000 0.000
0.166 0.834 0.500
0.500 0.500 0.500
0.834 0.166 0.500
0.383 0.617 0.000
0.617 0.383 0.000
```

Values from the calculation:
Density = 7.71 g/cm3
SG = Cmmm (65)

***

*b*
The following is a GGA-PBE calculation of an optimized crystal structure of Co2C, from the Alexandria database.

```
Co2C
1.0
2.822 0.000 0.000
-1.411 2.444 0.000
0.000 0.000 14.114
Co C
6 3
Direct
0.000 0.000 0.084
0.000 0.000 0.916
0.333 0.667 0.568
0.333 0.667 0.734
0.667 0.333 0.266
0.667 0.333 0.432
0.000 0.000 0.500
0.333 0.667 0.863
0.667 0.333 0.137
```

Values from the calculation:
Density = 6.65 g/cm3
SG = P-3m1 (164)

***

Quick ranking, most stable first: *b*, *a*.